[1]
CaHgPt3: optimized geometry, GGA-PBE.

As for the energy above the most stable polymorph in this dataset: 2.87 eV/f.u. As for the spin magnetization: 0.00 Bohr magnetons per cell.

The space group is Pm-3m (No. 221) and the conventional cell measures 4.9753, 4.9753 and 4.9753 Å, with angles of 90.00, 90.00 and 90.00 degrees. The asymmetric unit holds Ca at (0.0000, 0.0000, 0.0000), Hg at (0.5000, 0.5000, 0.5000) and Pt at (0.0000, 0.0000, 0.5000).

[2]
Ca4HgPt: optimized geometry, GGA-PBE.

As for the energy above the most stable polymorph in this dataset: 5.46 eV/f.u. As for the spin magnetization: 0.03 Bohr magnetons per cell.

The space group is F-43m (No. 216) and the conventional cell measures 8.7687, 8.7687 and 8.7687 Å, with angles of 90.00, 90.00 and 90.00 degrees. The asymmetric unit holds Ca at (0.1242, 0.1242, 0.3758), Hg at (0.0000, 0.0000, 0.0000) and Pt at (0.2500, 0.2500, 0.7500).

[3]
Ca3Hg2Pt: optimized geometry, GGA-PBE.

As for the spin magnetization: 0.00 Bohr magnetons per cell.

The space group is Cmmm (No. 65) and the conventional cell measures 5.1812, 15.6468 and 7.4238 Å, with angles of 90.00, 90.00 and 90.00 degrees. The asymmetric unit holds Ca at (0.0000, 0.0000, 0.2382), Ca at (0.0000, 0.3269, 0.2287), Hg at (0.0000, 0.1657, 0.5000), Hg at (0.0000, 0.5000, 0.0000), Hg at (0.0000, 0.5000, 0.5000) and Pt at (0.0000, 0.1605, 0.0000).

[4]
Ca3Hg3Pt: optimized geometry, GGA-PBE.

As for the spin magnetization: 0.00 Bohr magnetons per cell.

The space group is C2/m (No. 12) and the conventional cell measures 11.4002, 4.0974 and 16.4393 Å, with angles of 90.00, 104.45 and 90.00 degrees. The asymmetric unit holds Ca at (0.0197, 0.0000, 0.3845), Ca at (0.1099, 0.0000, 0.9226), Ca at (0.2351, 0.0000, 0.2434), Hg at (0.0054, 0.5000, 0.2283), Hg at (0.1173, 0.5000, 0.0765), Hg at (0.1488, 0.5000, 0.5351) and Pt at (0.2097, 0.5000, 0.3676).

[5]
CaHgPt: optimized geometry, GGA-PBE.

As for the spin magnetization: 0.00 Bohr magnetons per cell.

The space group is F-43m (No. 216) and the conventional cell measures 6.7306, 6.7306 and 6.7306 Å, with angles of 90.00, 90.00 and 90.00 degrees. The asymmetric unit holds Ca at (0.0000, 0.0000, 0.0000), Hg at (0.0000, 0.0000, 0.5000) and Pt at (0.2500, 0.2500, 0.2500).

[6]
Ca2HgPt2: optimized geometry, GGA-PBE.

As for the spin magnetization: 0.00 Bohr magnetons per cell.

The space group is I4/mmm (No. 139) and the conventional cell measures 3.8466, 3.8466 and 16.5111 Å, with angles of 90.00, 90.00 and 90.00 degrees. The asymmetric unit holds Ca at (0.0000, 0.0000, 0.1170), Hg at (0.0000, 0.0000, 0.5000) and Pt at (0.0000, 0.5000, 0.2500).

[7]
Ca3HgPt: optimized geometry, GGA-PBE.

As for the energy above the most stable polymorph in this dataset: 0.61 eV/f.u. As for the spin magnetization: 0.00 Bohr magnetons per cell.

The space group is Pm-3m (No. 221) and the conventional cell measures 5.5330, 5.5330 and 5.5330 Å, with angles of 90.00, 90.00 and 90.00 degrees. The asymmetric unit holds Ca at (0.0000, 0.0000, 0.5000), Hg at (0.5000, 0.5000, 0.5000) and Pt at (0.0000, 0.0000, 0.0000).

[8]
CaHg2Pt: optimized geometry, GGA-PBE.

As for the spin magnetization: 0.00 Bohr magnetons per cell.

The space group is P4/mmm (No. 123) and the conventional cell measures 3.6732, 3.6732 and 6.5033 Å, with angles of 90.00, 90.00 and 90.00 degrees. The asymmetric unit holds Ca at (0.0000, 0.0000, 0.0000), Hg at (0.5000, 0.5000, 0.2771) and Pt at (0.0000, 0.0000, 0.5000).

[9]
CaHg2Pt: optimized geometry, GGA-PBE.

As for the spin magnetization: 0.00 Bohr magnetons per cell.

The space group is I-42d (No. 122) and the conventional cell measures 4.2742, 4.2742 and 21.1482 Å, with angles of 90.00, 90.00 and 90.00 degrees. The asymmetric unit holds Ca at (0.0000, 0.0000, 0.0000), Hg at (0.2299, 0.2500, 0.6250) and Pt at (0.0000, 0.0000, 0.5000).

[10]
CaHg3Pt3: optimized geometry, GGA-PBE.

As for the spin magnetization: 0.00 Bohr magnetons per cell.

The space group is Pm-3n (No. 223) and the conventional cell measures 7.4475, 7.4475 and 7.4475 Å, with angles of 90.00, 90.00 and 90.00 degrees. The asymmetric unit holds Ca at (0.0000, 0.0000, 0.0000), Hg at (0.0000, 0.2500, 0.5000) and Pt at (0.0000, 0.5000, 0.2500).

[11]
Ca3HgPt: optimized geometry, GGA-PBE.

As for the energy above the most stable polymorph in this dataset: 0.32 eV/f.u. As for the spin magnetization: 0.00 Bohr magnetons per cell.

The space group is Cmmm (No. 65) and the conventional cell measures 10.1938, 14.6548 and 4.1750 Å, with angles of 90.00, 90.00 and 90.00 degrees. The asymmetric unit holds Ca at (0.0000, 0.1702, 0.0000), Ca at (0.1895, 0.3751, 0.5000), Hg at (0.0000, 0.0000, 0.5000), Hg at (0.0000, 0.5000, 0.0000) and Pt at (0.2500, 0.2500, 0.0000).

[12]
Ca2HgPt2: optimized geometry, GGA-PBE.

As for the spin magnetization: 0.00 Bohr magnetons per cell.

The space group is I4/mmm (No. 139) and the conventional cell measures 5.5755, 5.5755 and 8.0924 Å, with angles of 90.00, 90.00 and 90.00 degrees. The asymmetric unit holds Ca at (0.0000, 0.5000, 0.2500), Hg at (0.0000, 0.0000, 0.0000) and Pt at (0.0000, 0.0000, 0.3407).

[13]
Ca4Hg3Pt: optimized geometry, GGA-PBE.

As for the spin magnetization: 0.00 Bohr magnetons per cell.

The space group is P4/mmm (No. 123) and the conventional cell measures 3.6888, 3.6888 and 15.0429 Å, with angles of 90.00, 90.00 and 90.00 degrees. The asymmetric unit holds Ca at (0.0000, 0.0000, 0.1085), Ca at (0.0000, 0.0000, 0.3703), Hg at (0.5000, 0.5000, 0.2414), Hg at (0.5000, 0.5000, 0.5000) and Pt at (0.5000, 0.5000, 0.0000).

[14]
CaHgPt: optimized geometry, GGA-PBE.

As for the spin magnetization: 0.00 Bohr magnetons per cell.

The space group is P2_1/c (No. 14) and the conventional cell measures 6.7275, 5.6645 and 7.9229 Å, with angles of 90.00, 110.56 and 90.00 degrees. The asymmetric unit holds Ca at (0.1668, 0.1116, 0.3661), Hg at (0.4209, 0.5932, 0.2949) and Pt at (0.1724, 0.6208, 0.5186).

[15]
Ca2Hg2Pt: optimized geometry, GGA-PBE.

As for the energy above the most stable polymorph in this dataset: 0.38 eV/f.u. As for the spin magnetization: 0.00 Bohr magnetons per cell.

The space group is I4/mmm (No. 139) and the conventional cell measures 3.9520, 3.9520 and 17.4117 Å, with angles of 90.00, 90.00 and 90.00 degrees. The asymmetric unit holds Ca at (0.0000, 0.0000, 0.0910), Hg at (0.0000, 0.5000, 0.2500) and Pt at (0.0000, 0.0000, 0.5000).

[16]
Ca3HgPt8: optimized geometry, GGA-PBE.

As for the spin magnetization: 0.00 Bohr magnetons per cell.

The space group is R3m (No. 160, hexagonal axes) and the conventional cell measures 5.4333, 5.4333 and 26.5896 Å, with angles of 90.00, 90.00 and 120.00 degrees. The asymmetric unit holds Ca at (0.0000, 0.0000, 0.0000), Ca at (0.0000, 0.0000, 0.1291), Ca at (0.0000, 0.0000, 0.6191), Hg at (0.0000, 0.0000, 0.4989), Pt at (0.0000, 0.0000, 0.3122), Pt at (0.0000, 0.0000, 0.8125), Pt at (0.0004, 0.5002, 0.5628) and Pt at (0.0009, 0.5005, 0.0618).

[17]
Ca4HgPt: optimized geometry, GGA-PBE.

As for the energy above the most stable polymorph in this dataset: 0.00 eV/f.u. As for the spin magnetization: 0.00 Bohr magnetons per cell.

The space group is C2/c (No. 15) and the conventional cell measures 9.4333, 13.7072 and 6.6379 Å, with angles of 90.00, 120.53 and 90.00 degrees. The asymmetric unit holds Ca at (0.1154, 0.1716, 0.0825), Ca at (0.2124, 0.4359, 0.2934), Hg at (0.0000, 0.3656, 0.7500) and Pt at (0.0000, 0.0022, 0.2500).

[18]
CaHgPt3: optimized geometry, GGA-PBE.

As for the energy above the most stable polymorph in this dataset: 0.00 eV/f.u. As for the spin magnetization: 0.00 Bohr magnetons per cell.

The space group is Pm-3m (No. 221) and the conventional cell measures 5.0567, 5.0567 and 5.0567 Å, with angles of 90.00, 90.00 and 90.00 degrees. The asymmetric unit holds Ca at (0.0000, 0.0000, 0.0000), Hg at (0.5000, 0.5000, 0.5000) and Pt at (0.0000, 0.5000, 0.5000).

[19]
Ca4HgPt: optimized geometry, GGA-PBE.

As for the energy above the most stable polymorph in this dataset: 0.34 eV/f.u. As for the spin magnetization: 0.00 Bohr magnetons per cell.

The space group is C2/m (No. 12) and the conventional cell measures 7.2056, 7.2056 and 7.3082 Å, with angles of 90.00, 90.07 and 90.00 degrees. The asymmetric unit holds Ca at (0.2497, 0.2498, 0.2349), Hg at (0.0000, 0.0000, 0.5000) and Pt at (0.0000, 0.5000, 0.0000).

[20]
Ca4Hg2Pt: optimized geometry, GGA-PBE.

As for the energy above the most stable polymorph in this dataset: 0.31 eV/f.u. As for the spin magnetization: 0.00 Bohr magnetons per cell.

The space group is I4/mmm (No. 139) and the conventional cell measures 5.4397, 5.4397 and 15.8388 Å, with angles of 90.00, 90.00 and 90.00 degrees. The asymmetric unit holds Ca at (0.0000, 0.0000, 0.1806), Ca at (0.0000, 0.5000, 0.0000), Hg at (0.0000, 0.0000, 0.3782) and Pt at (0.0000, 0.0000, 0.0000).

no.,energy of formation from the pure elements (eV per formula unit),VASP energy (Ha/atom)
1,5.42,-0.110
2,2.01,-0.076
3,-3.90,-0.101
4,-4.12,-0.090
5,-1.82,-0.124
6,-2.92,-0.142
7,-2.66,-0.110
8,-1.32,-0.092
9,-1.20,-0.090
10,2.22,-0.099
11,-2.95,-0.112
12,-3.27,-0.145
13,-5.03,-0.092
14,-1.96,-0.126
15,-1.92,-0.092
16,-9.28,-0.196
17,-3.45,-0.109
18,2.55,-0.131
19,-3.12,-0.107
20,-3.39,-0.095